1.
Here is an optimized crystal structure of Ac2Sb3PPd4 from Alexandria via LeMat-Bulk. Energies are from PBE.

Output
The value obtained for the density of states at the Fermi level is 3.6 states/eV/f.u. As for the symmetry: P-4m2, No. 115. For the total energy, the calculation gives -5.557 eV/atom. The volume is 22.92 A^3/atom. The calculation puts the raw formation energy at -0.88 eV per atom.

Lattice parameters (Å, degrees): 4.706 4.706 10.350 90.00 90.00 90.00
Element x y z (fractional)
Ac 0.500 0.000 0.254
Ac 0.000 0.500 0.746
Sb 0.000 0.000 0.500
Sb 0.500 0.000 0.869
Sb 0.000 0.500 0.131
P 0.500 0.500 0.500
Pd 0.500 0.500 0.000
Pd 0.000 0.000 0.000
Pd 0.500 0.000 0.610
Pd 0.000 0.500 0.390

---

2.
Here is an optimized crystal structure of AcSbP2Pd4 from Alexandria via LeMat-Bulk. Energies are from PBE.

Output
The value obtained for the density of states at the Fermi level is 3.6 states/eV/f.u. As for the symmetry: P4/mmm, No. 123. For the total energy, the calculation gives -5.698 eV/atom. The volume is 19.24 A^3/atom. The calculation puts the raw formation energy at -0.72 eV per atom.

Lattice parameters (Å, degrees): 4.390 4.390 7.988 90.00 90.00 90.00
Element x y z (fractional)
Ac 0.000 0.000 0.500
Sb 0.000 0.000 0.000
P 0.500 0.500 0.354
P 0.500 0.500 0.646
Pd 0.000 0.500 0.201
Pd 0.500 0.000 0.799
Pd 0.500 0.000 0.201
Pd 0.000 0.500 0.799